DFT (PBE-GGA) results for PmInH after structural relaxation.

Computed properties:
M_tot ... 0.00 μB/f.u.
V ... 65.82 Å³ per cell
DOS at the Fermi energy ... 2.236 states/eV/f.u.
Space-group type ... P3m1, No. 156
Offset from the most stable computed form ... 0.067 eV/atom

POSCAR file:
```
PmInH
1.0
-2.4672 -2.8130 0.2641
1.4840 0.8867 -3.3288
4.0475 -3.4673 0.8808
Pm H In
1 1 1
direct
0.6667 0.3333 0.4987
0.3333 0.6667 0.5025
0.0000 0.0000 0.9987
```